## SrLiTi2Cd (GGA-PBE)

Data for crystalline SrLiTi2Cd at its relaxed geometry.

a = 4.888 Å, b = 4.888 Å, c = 5.028 Å
α = 90.00°, β = 90.00°, γ = 90.00°
Element x y z (fractional)
1 Sr 0.000 0.000 0.000
2 Li 0.500 0.500 0.500
3 Ti 0.000 0.500 0.500
4 Ti 0.500 0.000 0.500
5 Cd 0.500 0.500 0.000

Properties
- Fermi-level density of states: 1.884 states/eV/atom
- DFT formation energy: 0.659 eV per atom
- V: 24.025 A^3/atom
- Space group: P4/mmm, No. 123


## Sr2LiTiCd (GGA-PBE)

Data for crystalline Sr2LiTiCd at its relaxed geometry.

a = 6.207 Å, b = 6.207 Å, c = 5.333 Å
α = 90.00°, β = 90.00°, γ = 90.00°
Element x y z (fractional)
1 Sr 0.000 0.500 0.000
2 Sr 0.500 0.000 0.000
3 Li 0.000 0.000 0.500
4 Ti 0.500 0.500 0.000
5 Cd 0.500 0.500 0.500

Properties
- Fermi-level density of states: 1.358 states/eV/atom
- DFT formation energy: 0.603 eV per atom
- V: 41.094 A^3/atom
- Space group: P4/mmm, No. 123


## Sr3Li6Tl2Cd (GGA-PBE)

Data for crystalline Sr3Li6Tl2Cd at its relaxed geometry.

a = 6.381 Å, b = 6.381 Å, c = 9.353 Å
α = 90.00°, β = 90.00°, γ = 120.00°
Element x y z (fractional)
1 Sr 0.000 0.000 0.000
2 Sr 0.333 0.667 0.604
3 Sr 0.667 0.333 0.396
4 Li 0.179 0.357 0.267
5 Li 0.179 0.821 0.267
6 Li 0.357 0.179 0.733
7 Li 0.643 0.821 0.267
8 Li 0.821 0.179 0.733
9 Li 0.821 0.643 0.733
10 Tl 0.333 0.667 0.986
11 Tl 0.667 0.333 0.014
12 Cd 0.000 0.000 0.500

Properties
- Fermi-level density of states: 0.605 states/eV/atom
- DFT formation energy: -0.090 eV per atom
- V: 27.479 A^3/atom
- Space group: P-3m1, No. 164


## SrLi4TlCd2 (GGA-PBE)

Data for crystalline SrLi4TlCd2 at its relaxed geometry.

a = 9.659 Å, b = 9.659 Å, c = 9.659 Å
α = 28.97°, β = 28.97°, γ = 28.97°
Element x y z (fractional)
1 Sr 0.000 0.000 0.000
2 Li 0.134 0.134 0.134
3 Li 0.403 0.403 0.403
4 Li 0.597 0.597 0.597
5 Li 0.866 0.866 0.866
6 Tl 0.500 0.500 0.500
7 Cd 0.245 0.245 0.245
8 Cd 0.755 0.755 0.755

Properties
- Fermi-level density of states: 0.446 states/eV/atom
- DFT formation energy: -0.194 eV per atom
- V: 23.374 A^3/atom
- Space group: R-3m, No. 166


## Sr2LiTlCd6 (GGA-PBE)

Data for crystalline Sr2LiTlCd6 at its relaxed geometry.

a = 7.462 Å, b = 7.462 Å, c = 7.184 Å
α = 118.16°, β = 118.16°, γ = 91.07°
Element x y z (fractional)
1 Sr 0.207 0.793 0.000
2 Sr 0.793 0.207 0.000
3 Li 0.500 0.500 0.500
4 Tl 0.000 0.000 0.500
5 Cd 0.269 0.731 0.500
6 Cd 0.293 0.293 0.031
7 Cd 0.324 0.324 0.624
8 Cd 0.676 0.676 0.376
9 Cd 0.707 0.707 0.969
10 Cd 0.731 0.269 0.500

Properties
- Fermi-level density of states: 0.303 states/eV/atom
- DFT formation energy: -0.072 eV per atom
- V: 29.557 A^3/atom
- Space group: C2/m, No. 12


## Sr2Li2Tl5Cd (GGA-PBE)

Data for crystalline Sr2Li2Tl5Cd at its relaxed geometry.

a = 11.711 Å, b = 11.711 Å, c = 3.983 Å
α = 90.00°, β = 90.00°, γ = 90.00°
Element x y z (fractional)
1 Sr 0.179 0.321 0.000
2 Sr 0.321 0.821 0.000
3 Sr 0.679 0.179 0.000
4 Sr 0.821 0.679 0.000
5 Li 0.120 0.620 0.000
6 Li 0.380 0.120 0.000
7 Li 0.620 0.880 0.000
8 Li 0.880 0.380 0.000
9 Tl 0.000 0.500 0.500
10 Tl 0.061 0.796 0.500
11 Tl 0.204 0.061 0.500
12 Tl 0.296 0.561 0.500
13 Tl 0.439 0.296 0.500
14 Tl 0.500 0.000 0.500
15 Tl 0.561 0.704 0.500
16 Tl 0.704 0.439 0.500
17 Tl 0.796 0.939 0.500
18 Tl 0.939 0.204 0.500
19 Cd 0.000 0.000 0.000
20 Cd 0.500 0.500 0.000

Properties
- Fermi-level density of states: 0.398 states/eV/atom
- DFT formation energy: -0.237 eV per atom
- V: 27.309 A^3/atom
- Space group: P4/mbm, No. 127


## Sr2Li12TlCd3 (GGA-PBE)

Data for crystalline Sr2Li12TlCd3 at its relaxed geometry.

a = 7.527 Å, b = 7.527 Å, c = 7.527 Å
α = 85.93°, β = 85.93°, γ = 85.93°
Element x y z (fractional)
1 Sr 0.234 0.234 0.234
2 Sr 0.766 0.766 0.766
3 Li 0.079 0.079 0.649
4 Li 0.079 0.649 0.079
5 Li 0.234 0.692 0.692
6 Li 0.308 0.308 0.766
7 Li 0.308 0.766 0.308
8 Li 0.351 0.921 0.921
9 Li 0.649 0.079 0.079
10 Li 0.692 0.234 0.692
11 Li 0.692 0.692 0.234
12 Li 0.766 0.308 0.308
13 Li 0.921 0.351 0.921
14 Li 0.921 0.921 0.351
15 Tl 0.500 0.500 0.500
16 Cd 0.000 0.500 0.500
17 Cd 0.500 0.000 0.500
18 Cd 0.500 0.500 0.000

Properties
- Fermi-level density of states: 0.614 states/eV/atom
- DFT formation energy: -0.053 eV per atom
- V: 23.519 A^3/atom
- Space group: R-3m, No. 166


## SrLiTl2Cd4 (GGA-PBE)

Data for crystalline SrLiTl2Cd4 at its relaxed geometry.

a = 9.307 Å, b = 9.307 Å, c = 9.307 Å
α = 32.50°, β = 32.50°, γ = 32.50°
Element x y z (fractional)
1 Sr 0.000 0.000 0.000
2 Li 0.500 0.500 0.500
3 Tl 0.256 0.256 0.256
4 Tl 0.744 0.744 0.744
5 Cd 0.136 0.136 0.136
6 Cd 0.392 0.392 0.392
7 Cd 0.608 0.608 0.608
8 Cd 0.864 0.864 0.864

Properties
- Fermi-level density of states: 0.251 states/eV/atom
- DFT formation energy: -0.151 eV per atom
- V: 25.862 A^3/atom
- Space group: R-3m, No. 166